No. 1
Here is crystalline TbEr3H at its relaxed geometry from Alexandria via LeMat-Bulk. Energies are from PBE.

Geometry as POSCAR:
```
TbEr3H
1.0
4.947 0.000 0.000
0.000 4.947 0.000
0.000 0.000 4.947
Tb Er H
1 3 1
direct
0.000 0.000 0.000
0.000 0.500 0.500
0.500 0.000 0.500
0.500 0.500 0.000
0.500 0.500 0.500
```

Values from the calculation:
As for the crystal system: cubic. The value obtained for the magnetic moment is 0.0 μB/cell.

No. 2
Here is crystalline ErTcH3 at its relaxed geometry from Alexandria via LeMat-Bulk. Energies are from PBE.

Geometry as POSCAR:
```
ErTcH3
1.0
3.630 0.000 0.000
0.000 3.630 0.000
0.000 0.000 3.630
Er Tc H
1 1 3
direct
0.000 0.000 0.000
0.500 0.500 0.500
0.000 0.500 0.500
0.500 0.000 0.500
0.500 0.500 0.000
```

Values from the calculation:
As for the crystal system: cubic. The value obtained for the magnetic moment is 0.0 μB/cell.

no.,electronic total energy (eV/f.u.)
1,-22.5
2,-26.9